OsC2 | PBE | optimized geometry

Cell: 3.854 3.854 6.885 Å, 78.63 78.63 41.68°
Sites, in units of the cell vectors:
Os  0.046  0.046  0.679
Os  0.954  0.954  0.321
C  0.515  0.515  0.901
C  0.485  0.485  0.099
C  0.655  0.655  0.366
C  0.345  0.345  0.634

Output
Its energy above the most stable polymorph in this dataset is 57.3 kJ/mol of atoms. Its crystal system is monoclinic.